Density functional theory data (PBE) for Ce3TlPb3 after structural relaxation.

Summary:
Mass density in g/cm³: 9.953
Total DFT energy (no corrections) in hartree per atom: -0.1711
Crystal system: hexagonal
V in Å³/cell: 415.9
N(E_F) in states/eV per cell: 41.48
Space-group type: P6_3/m (176)
DFT formation energy in eV per atom: -0.19

Cell: 9.052 9.052 5.861 Å, 90.00 90.00 120.00°
Fractional positions:
Ce: 0.097 0.637 0.250
Ce: 0.363 0.460 0.250
Ce: 0.460 0.097 0.750
Ce: 0.540 0.903 0.250
Ce: 0.637 0.540 0.750
Ce: 0.903 0.363 0.750
Tl: 0.333 0.667 0.750
Tl: 0.667 0.333 0.250
Pb: 0.055 0.807 0.750
Pb: 0.193 0.248 0.750
Pb: 0.248 0.055 0.250
Pb: 0.752 0.945 0.750
Pb: 0.807 0.752 0.250
Pb: 0.945 0.193 0.250